w | ## Co2HOsRu (PBE)

Data for a relaxed structure of Co2HOsRu.

Lattice parameters (Å, degrees): 3.719 3.719 3.736 90.00 90.00 90.00
Element x y z (fractional)
1 Co 0.000 0.500 0.000
2 Co 0.500 0.000 0.000
3 H 0.000 0.000 0.000
4 Os 0.500 0.500 0.500
5 Ru 0.000 0.000 0.500

Symmetry: P4/mmm (123)
Crystal system: tetragonal

x | ## Co2HOsRu (PBE)

Data for a relaxed structure of Co2HOsRu.

Lattice parameters (Å, degrees): 3.718 3.718 3.753 90.00 90.00 90.00
Element x y z (fractional)
1 Co 0.000 0.500 0.000
2 Co 0.500 0.000 0.000
3 H 0.000 0.000 0.000
4 Os 0.000 0.000 0.500
5 Ru 0.500 0.500 0.500

Symmetry: P4/mmm (123)
Crystal system: tetragonal

w is preferred energetically. Next in line: 24 meV/atom higher.